# 1
A plane-wave DFT calculation with GGA-PBE was carried out for a geometry-optimized Hf2BeGe2 structure.

a b c (Å): 6.4413 6.4413 4.0596
angles (deg): 90.00 90.00 90.00
Fractional positions:
Hf 0.1748 0.3252 0.0000
Hf 0.3252 0.8252 0.0000
Hf 0.6748 0.1748 0.0000
Hf 0.8252 0.6748 0.0000
Be 0.0000 0.0000 0.5000
Be 0.5000 0.5000 0.5000
Ge 0.1378 0.6378 0.5000
Ge 0.3622 0.1378 0.5000
Ge 0.6378 0.8622 0.5000
Ge 0.8622 0.3622 0.5000

Summary:
As for the symmetry: P4/mbm, No. 127.

# 2
A plane-wave DFT calculation with GGA-PBE was carried out for a geometry-optimized Hf2BeGe structure.

a b c (Å): 5.7852 5.7852 5.7852
angles (deg): 104.44 104.44 120.08
Fractional positions:
Hf 0.1123 0.6250 0.9873
Hf 0.3750 0.3623 0.4873
Hf 0.6377 0.1250 0.0127
Hf 0.8750 0.8877 0.5127
Be 0.0000 0.0000 0.0000
Be 0.7500 0.2500 0.5000
Ge 0.2500 0.7500 0.5000
Ge 0.5000 0.5000 0.0000

Summary:
As for the symmetry: I-42d, No. 122.

# 3
A plane-wave DFT calculation with GGA-PBE was carried out for a geometry-optimized Hf2BeGe structure.

a b c (Å): 6.4630 6.4630 6.4630
angles (deg): 33.53 33.53 33.53
Fractional positions:
Hf 0.2466 0.2466 0.2466
Hf 0.7534 0.7534 0.7534
Be 0.5000 0.5000 0.5000
Ge 0.0000 0.0000 0.0000

Summary:
As for the symmetry: R-3m, No. 166.

# 4
A plane-wave DFT calculation with GGA-PBE was carried out for a geometry-optimized HfBeGe3 structure.

a b c (Å): 5.1496 5.1496 5.1496
angles (deg): 90.00 90.00 90.00
Fractional positions:
Hf 0.0000 0.0000 0.0000
Be 0.5000 0.5000 0.5000
Ge 0.0000 0.0000 0.5000
Ge 0.0000 0.5000 0.0000
Ge 0.5000 0.0000 0.0000

Summary:
As for the symmetry: Pm-3m, No. 221.

# 5
A plane-wave DFT calculation with GGA-PBE was carried out for a geometry-optimized HfBeGe2 structure.

a b c (Å): 5.5922 5.5922 5.5922
angles (deg): 104.48 104.48 119.99
Fractional positions:
Hf 0.0000 0.0000 0.0000
Hf 0.7500 0.2500 0.5000
Be 0.2500 0.7500 0.5000
Be 0.5000 0.5000 0.0000
Ge 0.1800 0.6250 0.0550
Ge 0.3750 0.4300 0.5550
Ge 0.5700 0.1250 0.9450
Ge 0.8750 0.8200 0.4450

Summary:
As for the symmetry: I-42d, No. 122.

# 6
A plane-wave DFT calculation with GGA-PBE was carried out for a geometry-optimized HfBeGe2Os structure.

a b c (Å): 4.1876 4.1876 4.6494
angles (deg): 90.00 90.00 90.00
Fractional positions:
Hf 0.0000 0.0000 0.0000
Be 0.0000 0.0000 0.5000
Ge 0.0000 0.5000 0.5000
Ge 0.5000 0.0000 0.5000
Os 0.5000 0.5000 0.0000

Summary:
As for the symmetry: P4/mmm, No. 123.

# 7
A plane-wave DFT calculation with GGA-PBE was carried out for a geometry-optimized Hf2BeGePd structure.

a b c (Å): 4.6837 4.6837 3.9788
angles (deg): 90.00 90.00 90.00
Fractional positions:
Hf 0.0000 0.5000 0.0000
Hf 0.5000 0.0000 0.0000
Be 0.0000 0.0000 0.0000
Ge 0.0000 0.0000 0.5000
Pd 0.5000 0.5000 0.5000

Summary:
As for the symmetry: P4/mmm, No. 123.

# 8
A plane-wave DFT calculation with GGA-PBE was carried out for a geometry-optimized Hf2BeGePd structure.

a b c (Å): 5.0035 5.0035 3.9185
angles (deg): 90.00 90.00 90.00
Fractional positions:
Hf 0.0000 0.5000 0.0000
Hf 0.5000 0.0000 0.0000
Be 0.0000 0.0000 0.5000
Ge 0.0000 0.0000 0.0000
Pd 0.5000 0.5000 0.5000

Summary:
As for the symmetry: P4/mmm, No. 123.

# 9
A plane-wave DFT calculation with GGA-PBE was carried out for a geometry-optimized Hf2Be2GeRu5 structure.

a b c (Å): 9.3793 9.3793 3.1669
angles (deg): 90.00 90.00 90.00
Fractional positions:
Hf 0.1740 0.3260 0.0000
Hf 0.3260 0.8260 0.0000
Hf 0.6740 0.1740 0.0000
Hf 0.8260 0.6740 0.0000
Be 0.1244 0.6244 0.0000
Be 0.3756 0.1244 0.0000
Be 0.6244 0.8756 0.0000
Be 0.8756 0.3756 0.0000
Ge 0.0000 0.0000 0.0000
Ge 0.5000 0.5000 0.0000
Ru 0.0000 0.5000 0.5000
Ru 0.0695 0.7926 0.5000
Ru 0.2074 0.0695 0.5000
Ru 0.2926 0.5695 0.5000
Ru 0.4305 0.2926 0.5000
Ru 0.5000 0.0000 0.5000
Ru 0.5695 0.7074 0.5000
Ru 0.7074 0.4305 0.5000
Ru 0.7926 0.9305 0.5000
Ru 0.9305 0.2074 0.5000

Summary:
As for the symmetry: P4/mbm, No. 127.

# 10
A plane-wave DFT calculation with GGA-PBE was carried out for a geometry-optimized HfZrBe2Ge structure.

a b c (Å): 4.6166 4.6166 5.0313
angles (deg): 90.00 90.00 90.00
Fractional positions:
Hf 0.0000 0.0000 0.0000
Zr 0.0000 0.0000 0.5000
Be 0.0000 0.5000 0.5000
Be 0.5000 0.0000 0.5000
Ge 0.5000 0.5000 0.0000

Summary:
As for the symmetry: P4/mmm, No. 123.

# 11
A plane-wave DFT calculation with GGA-PBE was carried out for a geometry-optimized BeHgGe2 structure.

a b c (Å): 4.7375 4.7375 4.7375
angles (deg): 60.00 60.00 60.00
Fractional positions:
Be 0.0000 0.0000 0.0000
Hg 0.5000 0.5000 0.5000
Ge 0.2500 0.2500 0.2500
Ge 0.7500 0.7500 0.7500

Summary:
As for the symmetry: Fm-3m, No. 225.

# 12
A plane-wave DFT calculation with GGA-PBE was carried out for a geometry-optimized BeHgGe2 structure.

a b c (Å): 8.2734 8.2734 8.2734
angles (deg): 147.85 147.85 46.11
Fractional positions:
Be 0.0000 0.0000 0.0000
Be 0.7500 0.2500 0.5000
Hg 0.2500 0.7500 0.5000
Hg 0.5000 0.5000 0.0000
Ge 0.0380 0.6250 0.9130
Ge 0.3750 0.2880 0.4130
Ge 0.7120 0.1250 0.0870
Ge 0.8750 0.9620 0.5870

Summary:
As for the symmetry: I-42d, No. 122.

| no. | calculated formation energy (kJ per mole of atoms) | E (eV/atom) | theoretical density (g/cm³) |
| --- | --- | --- | --- |
| 1 | -31 | -6.89 | 10.08 |
| 2 | 6 | -7.00 | 10.04 |
| 3 | -11 | -7.18 | 9.93 |
| 4 | 94 | -4.54 | 4.93 |
| 5 | -3 | -5.76 | 8.43 |
| 6 | 64 | -6.17 | 10.65 |
| 7 | 4 | -6.65 | 10.37 |
| 8 | 30 | -6.38 | 9.23 |
| 9 | -51 | -8.36 | 11.36 |
| 10 | 144 | -4.63 | 5.58 |
| 11 | 61 | -2.68 | 7.84 |
| 12 | 34 | -2.96 | 7.38 |